A geometry-optimized Hg2PtSe structure, computed with GGA-PBE.

Computed properties:
**Crystal system**: trigonal
**Energy relative to the lowest polymorph listed for this composition**: 0.211 eV/atom
**DOS at the Fermi energy**: 0.650 states/eV per atom
**E_form (uncorrected)**: 0.162 eV/atom

Geometry as CIF:
```
data_Hg2PtSe
_cell_length_a 3.9801
_cell_length_b 3.9801
_cell_length_c 19.7533
_cell_angle_alpha 90.00
_cell_angle_beta 90.00
_cell_angle_gamma 120.00
_symmetry_space_group_name_H-M 'R -3 m'
_symmetry_Int_Tables_number 166
_symmetry_space_group_name_Hall '-R 3 2"'
loop_
_atom_site_label
_atom_site_fract_x
_atom_site_fract_y
_atom_site_fract_z
_atom_site_occupancy
Hg1 0.0000 0.0000 0.2452 1
Pt1 0.0000 0.0000 0.5000 1
Se1 0.0000 0.0000 0.0000 1
```